[1]
A geometry-optimized SrTaRe2 structure, computed with PBE.

Its total magnetization is 0.00 Bohr magnetons per cell. As for the energy: -8.84 eV per atom. Its distance to the lowest polymorph of the same formula is 218 meV/atom. The calculation puts the formation energy at 0.763 eV/atom. The calculated volume is 174 Å³ per cell.

a = 8.5452 Å, b = 3.0835 Å, c = 6.6457 Å
α = 90.00°, β = 97.25°, γ = 90.00°
Last column: nearest neighbours and their distance in Å.
Fractional coordinates of all 8 atoms:
Sr (0.0000, 0.0000, 0.0000)  2 Sr 3.08, 6 Re 3.15-3.35
Sr (0.5000, 0.5000, 0.0000)  2 Sr 3.08, 6 Re 3.15-3.35
Ta (0.0000, 0.5000, 0.5000)  6 Re 2.65-2.67
Ta (0.5000, 0.0000, 0.5000)  6 Re 2.65-2.67
Re (0.2323, 0.0000, 0.6685)  3 Ta 2.65-2.67, 2 Re 2.77
Re (0.2677, 0.5000, 0.3315)  3 Ta 2.65-2.67, 2 Re 2.77
Re (0.7323, 0.5000, 0.6685)  3 Ta 2.65-2.67, 2 Re 2.77
Re (0.7677, 0.0000, 0.3315)  3 Ta 2.65-2.67, 2 Re 2.77

=====

[2]
A geometry-optimized FeCo structure, computed with PBE.

Its total magnetization is 26.13 Bohr magnetons per cell. As for the energy: -7.78 eV per atom. The calculation puts the formation energy at 0.009 eV/atom. The calculated volume is 137 Å³ per cell.

a = 2.8369 Å, b = 4.0336 Å, c = 11.9876 Å
α = 90.00°, β = 90.00°, γ = 90.00°
Last column: nearest neighbours and their distance in Å.
Fractional coordinates of all 12 atoms:
Fe (0.0000, 0.0000, 0.0000)  4 Co 2.44-2.45, 4 Fe 2.47
Fe (0.0000, 0.0000, 0.3333)  2 Co 2.45, 6 Fe 2.47-2.48
Fe (0.0000, 0.5000, 0.5028)  2 Co 2.44, 6 Fe 2.47-2.48
Fe (0.5000, 0.0000, 0.5028)  2 Co 2.44, 6 Fe 2.47-2.48
Fe (0.5000, 0.5000, 0.0000)  4 Co 2.44-2.45, 4 Fe 2.47
Fe (0.5000, 0.5000, 0.3333)  2 Co 2.45, 6 Fe 2.47-2.48
Co (0.0000, 0.0000, 0.6687)  2 Fe 2.44, 6 Co 2.44-2.47
Co (0.0000, 0.5000, 0.1665)  4 Fe 2.45, 4 Co 2.47
Co (0.0000, 0.5000, 0.8346)  2 Fe 2.44, 6 Co 2.44-2.47
Co (0.5000, 0.0000, 0.1665)  4 Fe 2.45, 4 Co 2.47
Co (0.5000, 0.0000, 0.8346)  2 Fe 2.44, 6 Co 2.44-2.47
Co (0.5000, 0.5000, 0.6687)  2 Fe 2.44, 6 Co 2.44-2.47